(1)
Computed, not measured: a geometry-optimized BeTc2Ru structure at the PBE level of DFT.

* uncorrected energy: -0.304 Ha/atom
* ΔH_f (0 K): 0.151 eV/atom
* Fermi-level density of states: 1.1196 states/eV/atom

Cell lengths 3.9956, 3.6409, 3.6409 Å; angles 90.00, 90.00, 90.00 degrees
Atoms (fractional coordinates):
Ru: 0.5000 0.0000 0.5000
Tc: 0.0000 0.0000 0.0000
Tc: 0.0000 0.5000 0.5000
Be: 0.5000 0.5000 0.0000



(2)
Computed, not measured: a geometry-optimized BeNbSiAu2 structure at the PBE level of DFT.

* uncorrected energy: -0.137 Ha/atom
* Fermi-level density of states: 1.0747 states/eV/atom

Cell lengths 5.0671, 4.5898, 5.0671 Å; angles 90.00, 90.00, 90.00 degrees
Atoms (fractional coordinates):
Be: 0.0000 0.5000 0.0000
Nb: 0.0000 0.0000 0.0000
Au: 0.0000 0.0000 0.5000
Au: 0.5000 0.0000 0.0000
Si: 0.5000 0.5000 0.5000



(3)
Computed, not measured: a geometry-optimized Pr2VP2N6 structure at the PBE level of DFT.

* uncorrected energy: -0.298 Ha/atom
* Fermi-level density of states: 0.2798 states/eV/atom

Cell lengths 5.4840, 5.4840, 6.1249 Å; angles 63.40, 63.40, 60.00 degrees
Each line ends with the local moment (μB).
Atoms (fractional coordinates):
Pr: 0.7769 0.7769 0.6694  0.02
Pr: 0.2231 0.2231 0.3306  0.02
V: 0.0000 0.0000 0.0000  0.96
P: 0.4336 0.4336 0.6993  0.01
P: 0.5664 0.5664 0.3007  0.01
N: 0.7547 0.7547 0.2375  -0.02
N: 0.2531 0.7547 0.2375  -0.02
N: 0.7547 0.2531 0.2375  -0.02
N: 0.2453 0.7469 0.7625  -0.02
N: 0.7469 0.2453 0.7625  -0.02
N: 0.2453 0.2453 0.7625  -0.02



(4)
Computed, not measured: a geometry-optimized Dy2Y5Tm5 structure at the PBE level of DFT.

* uncorrected energy: -0.195 Ha/atom
* ΔH_f (0 K): 0.026 eV/atom
* energy relative to the lowest polymorph listed for this composition: 0.0 kJ per mole of atoms
* Fermi-level density of states: 1.3775 states/eV/atom

Cell lengths 4.9894, 7.8982, 11.1738 Å; angles 115.08, 90.00, 108.41 degrees
Atoms (fractional coordinates):
Dy: 0.0831 0.1662 0.7512
Dy: 0.9169 0.8338 0.2488
Y: 0.1652 0.3303 0.4991
Y: 0.7504 0.5007 0.7514
Y: 0.2496 0.4993 0.2486
Y: 0.8348 0.6697 0.5009
Y: 0.0000 0.0000 0.0000
Tm: 0.5000 0.0000 0.5000
Tm: 0.6674 0.3348 0.0004
Tm: 0.5824 0.1649 0.2496
Tm: 0.4176 0.8351 0.7504
Tm: 0.3326 0.6652 0.9996



(5)
Computed, not measured: a geometry-optimized InGe2Pd2 structure at the PBE level of DFT.

* uncorrected energy: -0.171 Ha/atom
* ΔH_f (0 K): -0.176 eV/atom
* Fermi-level density of states: 0.4057 states/eV/atom

Cell lengths 7.9344, 7.9344, 2.8714 Å; angles 90.00, 90.00, 90.00 degrees
Atoms (fractional coordinates):
Ge: 0.3736 0.8736 0.0000
Ge: 0.8736 0.6264 0.0000
Ge: 0.6264 0.1264 0.0000
Ge: 0.1264 0.3736 0.0000
Pd: 0.1669 0.6669 0.5000
Pd: 0.6669 0.8331 0.5000
Pd: 0.8331 0.3331 0.5000
Pd: 0.3331 0.1669 0.5000
In: 0.0000 0.0000 0.0000
In: 0.5000 0.5000 0.0000



(6)
Computed, not measured: a geometry-optimized Rb2RhO3 structure at the PBE level of DFT.

* uncorrected energy: -0.184 Ha/atom
* Fermi-level density of states: 0.5937 states/eV/atom

Cell lengths 6.0369, 6.3528, 6.3528 Å; angles 110.61, 90.00, 90.00 degrees
Each line ends with the local moment (μB).
Atoms (fractional coordinates):
Rb: 0.7500 0.4711 0.8085  0.00
Rb: 0.2500 0.1915 0.5289  0.00
Rb: 0.2500 0.5289 0.1915  0.00
Rb: 0.7500 0.8085 0.4711  0.00
Rh: 0.2500 0.9491 0.9491  0.55
Rh: 0.7500 0.0509 0.0509  0.55
O: 0.0000 0.1240 0.8760  0.10
O: 0.5000 0.1240 0.8760  0.10
O: 0.2500 0.6827 0.6827  0.16
O: 0.7500 0.3173 0.3173  0.16
O: 0.5000 0.8760 0.1240  0.10
O: 0.0000 0.8760 0.1240  0.10



(7)
Computed, not measured: a geometry-optimized AlCrCd2N structure at the PBE level of DFT.

* uncorrected energy: -0.114 Ha/atom
* Fermi-level density of states: 0.8070 states/eV/atom

Cell lengths 5.3255, 4.9646, 5.3255 Å; angles 90.00, 90.00, 90.00 degrees
Each line ends with the local moment (μB).
Atoms (fractional coordinates):
Cr: 0.0000 0.0000 0.0000  3.57
N: 0.5000 0.5000 0.5000  1.66
Al: 0.0000 0.5000 0.0000  0.00
Cd: 0.0000 0.0000 0.5000  0.03
Cd: 0.5000 0.0000 0.0000  0.07



(8)
Computed, not measured: a geometry-optimized AcPm2Sm6Ho structure at the PBE level of DFT.

* uncorrected energy: -0.166 Ha/atom
* ΔH_f (0 K): 0.121 eV/atom
* Fermi-level density of states: 1.4325 states/eV/atom

Cell lengths 9.7366, 9.0728, 9.0728 Å; angles 118.21, 92.98, 92.98 degrees
Atoms (fractional coordinates):
Ac: 0.2500 0.9759 0.0241
Ac: 0.7500 0.0241 0.9759
Pm: 0.4540 0.7999 0.6842
Pm: 0.0460 0.3158 0.2001
Pm: 0.5460 0.2001 0.3158
Pm: 0.9540 0.6842 0.7999
Sm: 0.0558 0.1314 0.7493
Sm: 0.4442 0.2507 0.8686
Sm: 0.9442 0.8686 0.2507
Sm: 0.5558 0.7493 0.1314
Sm: 0.3128 0.9844 0.4376
Sm: 0.1872 0.5624 0.0156
Sm: 0.6872 0.0156 0.5624
Sm: 0.8128 0.4376 0.9844
Sm: 0.1168 0.7112 0.4972
Sm: 0.3832 0.5028 0.2888
Sm: 0.8832 0.2888 0.5028
Sm: 0.6168 0.4972 0.7112
Ho: 0.2500 0.4111 0.5889
Ho: 0.7500 0.5889 0.4111